Density functional theory data (PBE) for a geometry-optimized LiTh2Te3 structure.

Computed properties:
E_form (uncorrected): -103.9 kJ per mole of atoms
SG: No. 71
DFT total energy: -32.6 eV per cell

```
LiTh2Te3
1.0
4.209 0.000 0.000
0.000 6.217 0.000
-2.105 -3.108 6.860
Li Th Te
1 2 3
Cartesian
1.052 1.554 3.430
3.157 4.663 1.043
-1.052 -1.554 5.818
3.157 1.554 1.392
-1.052 1.554 5.468
1.052 -1.554 3.430
```